VASP calculation (PBE with a Hubbard U) on an optimized crystal structure of VZn3O.

Output
**Distance to the lowest polymorph of the same formula**: 1105.8 meV per atom
**E**: -9.78 eV per cell

Lattice parameters (Å, degrees): 5.1603 5.1603 5.1603 90.00 90.00 90.00
Fractional coordinates of all 5 atoms:
Zn 0.0000 0.5000 0.0000
Zn 0.5000 0.0000 0.0000
Zn 0.0000 0.0000 0.5000
O 0.5000 0.5000 0.5000
V 0.0000 0.0000 0.0000